Entry from Alexandria: a geometry-optimized HfFe2NiP structure (PBE-GGA).

The structure in CIF format:
```
data_HfFe2NiP
_cell_length_a 4.134
_cell_length_b 4.134
_cell_length_c 4.813
_cell_angle_alpha 90.00
_cell_angle_beta 90.00
_cell_angle_gamma 90.00
_space_group_name_H-M_alt 'P 4/m m m'
_space_group_IT_number 123
_space_group_name_Hall '-P 4 2'
loop_
_atom_site_label
_atom_site_type_symbol
_atom_site_fract_x
_atom_site_fract_y
_atom_site_fract_z
Hf1 Hf 0.000 0.000 0.000
Fe1 Fe 0.000 0.500 0.500
Ni1 Ni 0.500 0.500 0.000
P1 P 0.000 0.000 0.500
```

Calculated values
As for the total magnetic moment: 4.481 μB/f.u. For the density of states at the Fermi level, the calculation gives 1.31 states/eV/atom. Its crystal system is tetragonal. The value obtained for the final energy is -0.5389 Ry/atom.